[1]
Below is MgAlPt3 after structural relaxation, with properties calculated at the PBE level.

POSCAR file:
```
MgAlPt3
1.0
4.5743 0.0000 0.0000
0.0000 4.5743 0.0000
0.0000 0.0000 4.5743
Mg Al Pt
1 1 3
direct
0.0000 0.0000 0.0000
0.5000 0.5000 0.5000
0.0000 0.0000 0.5000
0.0000 0.5000 0.0000
0.5000 0.0000 0.0000
```

Values from the calculation:
total magnetic moment = 0.0000 μB/atom
ΔH_f (0 K) = 0.5998 eV per atom
SG = No. 221
energy above the most stable polymorph in this dataset = 687.8 meV per atom

[2]
Below is MgAlPt4 after structural relaxation, with properties calculated at the PBE level.

POSCAR file:
```
MgAlPt4
1.0
0.0000 3.7392 3.7392
3.7392 0.0000 3.7392
3.7392 3.7392 0.0000
Mg Al Pt
1 1 4
direct
0.0000 0.0000 0.0000
0.7500 0.7500 0.7500
0.3752 0.3752 0.3752
0.3752 0.3752 0.8743
0.3752 0.8743 0.3752
0.8743 0.3752 0.3752
```

Values from the calculation:
total magnetic moment = 0.0000 μB/atom
ΔH_f (0 K) = -0.3700 eV per atom
SG = No. 216
energy above the most stable polymorph in this dataset = 176.3 meV per atom

[3]
Below is Mg3AlPt3 after structural relaxation, with properties calculated at the PBE level.

POSCAR file:
```
Mg3AlPt3
1.0
4.4457 -4.6555 0.0000
4.4457 4.6555 0.0000
0.0000 0.0000 5.8598
Mg Al Pt
6 2 6
direct
0.2234 0.2234 0.5000
0.2438 0.7562 0.0000
0.2450 0.2450 0.0000
0.7550 0.7550 0.0000
0.7562 0.2438 0.0000
0.7766 0.7766 0.5000
0.2705 0.7295 0.5000
0.7295 0.2705 0.5000
0.0000 0.5000 0.2570
0.0000 0.5000 0.7430
0.5000 0.0000 0.2570
0.5000 0.0000 0.7430
0.5000 0.5000 0.2541
0.5000 0.5000 0.7459
```

Values from the calculation:
total magnetic moment = 0.0000 μB/atom
ΔH_f (0 K) = -0.8105 eV per atom
SG = No. 65
energy above the most stable polymorph in this dataset = 0.0 meV per atom

[4]
Below is Mg2AlPt2 after structural relaxation, with properties calculated at the PBE level.

POSCAR file:
```
Mg2AlPt2
1.0
-3.2191 5.3536 2.6495
3.2191 -5.3536 2.6495
3.2191 5.3536 -2.6495
Mg Al Pt
4 2 4
direct
0.1138 0.1396 0.2534
0.3862 0.6396 0.0258
0.6138 0.3604 0.9742
0.8862 0.8604 0.7466
0.2500 0.7500 0.5000
0.7500 0.2500 0.5000
0.1427 0.7234 0.8660
0.3573 0.2234 0.5807
0.6427 0.7766 0.4193
0.8573 0.2766 0.1340
```

Values from the calculation:
total magnetic moment = 0.0000 μB/atom
ΔH_f (0 K) = -0.6503 eV per atom
SG = No. 72
energy above the most stable polymorph in this dataset = 198.6 meV per atom

[5]
Below is MgAl2Pt after structural relaxation, with properties calculated at the PBE level.

POSCAR file:
```
MgAl2Pt
1.0
2.8053 -4.6941 0.0000
2.8053 4.6941 0.0000
-1.5007 0.0000 2.4968
Mg Al Pt
1 2 1
direct
0.0000 0.0000 0.0000
0.0000 0.5000 0.0000
0.5000 0.0000 0.0000
0.5000 0.5000 0.0000
```

Values from the calculation:
total magnetic moment = 0.0000 μB/atom
ΔH_f (0 K) = -0.3735 eV per atom
SG = No. 12

[6]
Below is Mg2AlPt2 after structural relaxation, with properties calculated at the PBE level.

POSCAR file:
```
Mg2AlPt2
1.0
6.5743 0.0000 0.0000
0.0000 6.5743 0.0000
0.0000 0.0000 4.0580
Mg Al Pt
4 2 4
direct
0.1595 0.3405 0.0000
0.3405 0.8405 0.0000
0.6595 0.1595 0.0000
0.8405 0.6595 0.0000
0.0000 0.0000 0.5000
0.5000 0.5000 0.5000
0.1482 0.6482 0.5000
0.3518 0.1482 0.5000
0.6482 0.8518 0.5000
0.8518 0.3518 0.5000
```

Values from the calculation:
total magnetic moment = 0.0000 μB/atom
ΔH_f (0 K) = -0.7803 eV per atom
SG = No. 127
energy above the most stable polymorph in this dataset = 68.7 meV per atom

no.,Fermi-level density of states (states/eV/cell)
1,4.505
2,4.446
3,3.880
4,3.064
5,1.270
6,3.434